1.
Density functional theory data (GGA-PBE) for a geometry-optimized CoPt4Rh structure.

The structure in CIF format:
```
data_CoPt4Rh
_chemical_formula_sum 'Co4 Pt16 Rh4'
_cell_length_a 6.972
_cell_length_b 11.638
_cell_length_c 4.802
_cell_angle_alpha 90.00
_cell_angle_beta 110.31
_cell_angle_gamma 90.00
_space_group_name_H-M_alt 'C 1 2/c 1'
_space_group_IT_number 15
loop_
_space_group_symop_operation_xyz
'x,y,z'
'-x,-y,-z'
'-x,y,-z+1/2'
'x,-y,z+1/2'
'x+1/2,y+1/2,z'
'-x+1/2,-y+1/2,-z'
'-x+1/2,y+1/2,-z+1/2'
'x+1/2,-y+1/2,z+1/2'
loop_
_atom_site_label
_atom_site_type_symbol
_atom_site_fract_x
_atom_site_fract_y
_atom_site_fract_z
_atom_site_occupancy
Co1 Co 0.000 0.001 0.250 1
Pt1 Pt 0.107 0.186 0.556 1
Pt2 Pt 0.206 0.390 0.857 1
Rh1 Rh 0.000 0.405 0.250 1
```

Computed properties:
Size of the total moment = 15.59 Bohr magnetons per cell
Energy of formation = 90 meV per atom
Relative energy among the computed polymorphs = 13 meV/atom

2.
Density functional theory data (GGA-PBE) for a geometry-optimized Co2PtRh structure.

The structure in CIF format:
```
data_Co2PtRh
_chemical_formula_sum 'Co4 Pt2 Rh2'
_cell_length_a 8.833
_cell_length_b 2.692
_cell_length_c 4.545
_cell_angle_alpha 90.00
_cell_angle_beta 102.04
_cell_angle_gamma 90.00
_space_group_name_H-M_alt 'C 1 m 1'
_space_group_IT_number 8
loop_
_space_group_symop_operation_xyz
'x,y,z'
'x,-y,z'
'x+1/2,y+1/2,z'
'x+1/2,-y+1/2,z'
loop_
_atom_site_label
_atom_site_type_symbol
_atom_site_fract_x
_atom_site_fract_y
_atom_site_fract_z
_atom_site_occupancy
Co1 Co 0.000 0.000 0.000 1
Co2 Co 0.236 0.500 0.253 1
Pt1 Pt 0.247 0.000 0.768 1
Rh1 Rh 0.487 0.000 0.475 1
```

Computed properties:
Size of the total moment = 9.83 Bohr magnetons per cell
Energy of formation = -7 meV per atom

3.
Density functional theory data (GGA-PBE) for a geometry-optimized CoPt12Rh3 structure.

The structure in CIF format:
```
data_CoPt12Rh3
_chemical_formula_sum 'Co1 Pt12 Rh3'
_cell_length_a 3.925
_cell_length_b 3.925
_cell_length_c 15.789
_cell_angle_alpha 90.00
_cell_angle_beta 90.00
_cell_angle_gamma 90.00
_space_group_name_H-M_alt 'P 4/m m m'
_space_group_IT_number 123
_space_group_name_Hall '-P 4 2'
loop_
_atom_site_label
_atom_site_type_symbol
_atom_site_fract_x
_atom_site_fract_y
_atom_site_fract_z
_atom_site_occupancy
Co1 Co 0.000 0.000 0.000 1
Pt1 Pt 0.000 0.500 0.121 1
Pt2 Pt 0.000 0.500 0.374 1
Pt3 Pt 0.500 0.500 0.000 1
Pt4 Pt 0.500 0.500 0.247 1
Pt5 Pt 0.500 0.500 0.500 1
Rh1 Rh 0.000 0.000 0.250 1
Rh2 Rh 0.000 0.000 0.500 1
```

Computed properties:
Size of the total moment = 4.49 Bohr magnetons per cell
Energy of formation = -33 meV per atom

4.
Density functional theory data (GGA-PBE) for a geometry-optimized Co2PtRh structure.

The structure in CIF format:
```
data_Co2PtRh
_chemical_formula_sum 'Co2 Pt1 Rh1'
_cell_length_a 3.796
_cell_length_b 3.796
_cell_length_c 3.667
_cell_angle_alpha 90.00
_cell_angle_beta 90.00
_cell_angle_gamma 90.00
_space_group_name_H-M_alt 'P 4/m m m'
_space_group_IT_number 123
_space_group_name_Hall '-P 4 2'
loop_
_atom_site_label
_atom_site_type_symbol
_atom_site_fract_x
_atom_site_fract_y
_atom_site_fract_z
_atom_site_occupancy
Co1 Co 0.000 0.500 0.000 1
Pt1 Pt 0.000 0.000 0.500 1
Rh1 Rh 0.500 0.500 0.500 1
```

Computed properties:
Size of the total moment = 4.86 Bohr magnetons per cell
Energy of formation = -22 meV per atom

5.
Density functional theory data (GGA-PBE) for a geometry-optimized Co2PtRh structure.

The structure in CIF format:
```
data_Co2PtRh
_chemical_formula_sum 'Co6 Pt3 Rh3'
_cell_length_a 2.6898
_cell_length_b 2.6898
_cell_length_c 25.5790
_cell_angle_alpha 90.00
_cell_angle_beta 90.00
_cell_angle_gamma 120.00
_space_group_name_H-M_alt 'R -3 m'
_space_group_IT_number 166
_space_group_name_Hall '-R 3 2"'
loop_
_atom_site_label
_atom_site_type_symbol
_atom_site_fract_x
_atom_site_fract_y
_atom_site_fract_z
_atom_site_occupancy
Co1 Co 0.0000 0.0000 0.2483 1
Pt1 Pt 0.0000 0.0000 0.0000 1
Rh1 Rh 0.0000 0.0000 0.5000 1
```

Computed properties:
Size of the total moment = 15.11 Bohr magnetons per cell
Energy of formation = 6 meV per atom

6.
Density functional theory data (GGA-PBE) for a geometry-optimized Co2PtRh structure.

The structure in CIF format:
```
data_Co2PtRh
_chemical_formula_sum 'Co4 Pt2 Rh2'
_cell_length_a 4.049
_cell_length_b 2.681
_cell_length_c 9.755
_cell_angle_alpha 90.00
_cell_angle_beta 90.00
_cell_angle_gamma 90.00
_space_group_name_H-M_alt 'A m m 2'
_space_group_IT_number 38
loop_
_space_group_symop_operation_xyz
'x,y,z'
'-x,-y,z'
'-x,y,z'
'x,-y,z'
'x,y+1/2,z+1/2'
'-x,-y+1/2,z+1/2'
'-x,y+1/2,z+1/2'
'x,-y+1/2,z+1/2'
loop_
_atom_site_label
_atom_site_type_symbol
_atom_site_fract_x
_atom_site_fract_y
_atom_site_fract_z
_atom_site_occupancy
Co1 Co 0.000 0.000 0.000 1
Co2 Co 0.500 0.000 0.128 1
Pt1 Pt 0.000 0.000 0.736 1
Rh1 Rh 0.500 0.000 0.396 1
```

Computed properties:
Size of the total moment = 10.31 Bohr magnetons per cell
Energy of formation = -24 meV per atom

7.
Density functional theory data (GGA-PBE) for a geometry-optimized Co2PtRh2 structure.

The structure in CIF format:
```
data_Co2PtRh2
_chemical_formula_sum 'Co4 Pt2 Rh4'
_cell_length_a 7.160
_cell_length_b 7.160
_cell_length_c 2.706
_cell_angle_alpha 90.00
_cell_angle_beta 90.00
_cell_angle_gamma 90.00
_space_group_name_H-M_alt 'P 4/m b m'
_space_group_IT_number 127
_space_group_name_Hall '-P 4 2ab'
loop_
_atom_site_label
_atom_site_type_symbol
_atom_site_fract_x
_atom_site_fract_y
_atom_site_fract_z
_atom_site_occupancy
Co1 Co 0.167 0.333 0.000 1
Pt1 Pt 0.000 0.000 0.500 1
Rh1 Rh 0.131 0.631 0.500 1
```

Computed properties:
Size of the total moment = 10.63 Bohr magnetons per cell
Energy of formation = 178 meV per atom
Relative energy among the computed polymorphs = 176 meV/atom

8.
Density functional theory data (GGA-PBE) for a geometry-optimized Co2PtRh structure.

The structure in CIF format:
```
data_Co2PtRh
_chemical_formula_sum 'Co4 Pt2 Rh2'
_cell_length_a 3.799
_cell_length_b 3.801
_cell_length_c 7.264
_cell_angle_alpha 90.00
_cell_angle_beta 90.00
_cell_angle_gamma 90.00
_space_group_name_H-M_alt 'P m m a'
_space_group_IT_number 51
loop_
_space_group_symop_operation_xyz
'x,y,z'
'-x,-y,-z'
'-x+1/2,-y,z'
'x+1/2,y,-z'
'x+1/2,-y,-z'
'-x+1/2,y,z'
'-x,y,-z'
'x,-y,z'
loop_
_atom_site_label
_atom_site_type_symbol
_atom_site_fract_x
_atom_site_fract_y
_atom_site_fract_z
_atom_site_occupancy
Co1 Co 0.250 0.000 0.108 1
Co2 Co 0.250 0.500 0.890 1
Pt1 Pt 0.250 0.500 0.357 1
Rh1 Rh 0.250 0.000 0.641 1
```

Computed properties:
Size of the total moment = 8.92 Bohr magnetons per cell
Energy of formation = -6 meV per atom

9.
Density functional theory data (GGA-PBE) for a geometry-optimized CoPt6Rh5 structure.

The structure in CIF format:
```
data_CoPt6Rh5
_chemical_formula_sum 'Co2 Pt12 Rh10'
_cell_length_a 3.890
_cell_length_b 7.773
_cell_length_c 11.675
_cell_angle_alpha 90.00
_cell_angle_beta 90.00
_cell_angle_gamma 90.00
_space_group_name_H-M_alt 'I m m m'
_space_group_IT_number 71
_space_group_name_Hall '-I 2 2'
loop_
_atom_site_label
_atom_site_type_symbol
_atom_site_fract_x
_atom_site_fract_y
_atom_site_fract_z
_atom_site_occupancy
Co1 Co 0.000 0.000 0.000 1
Pt1 Pt 0.000 0.247 0.166 1
Pt2 Pt 0.000 0.257 0.500 1
Rh1 Rh 0.000 0.000 0.336 1
Rh2 Rh 0.000 0.500 0.000 1
Rh3 Rh 0.000 0.500 0.335 1
```

Computed properties:
Size of the total moment = 8.33 Bohr magnetons per cell
Energy of formation = -31 meV per atom

10.
Density functional theory data (GGA-PBE) for a geometry-optimized Co2Pt2Rh3 structure.

The structure in CIF format:
```
data_Co2Pt2Rh3
_chemical_formula_sum 'Co4 Pt4 Rh6'
_cell_length_a 2.707
_cell_length_b 26.791
_cell_length_c 2.700
_cell_angle_alpha 90.00
_cell_angle_beta 90.00
_cell_angle_gamma 90.00
_space_group_name_H-M_alt 'C m m m'
_space_group_IT_number 65
_space_group_name_Hall '-C 2 2'
loop_
_atom_site_label
_atom_site_type_symbol
_atom_site_fract_x
_atom_site_fract_y
_atom_site_fract_z
_atom_site_occupancy
Co1 Co 0.000 0.138 0.000 1
Pt1 Pt 0.000 0.295 0.500 1
Rh1 Rh 0.000 0.000 0.000 1
Rh2 Rh 0.000 0.428 0.500 1
```

Computed properties:
Size of the total moment = 8.86 Bohr magnetons per cell
Energy of formation = 12 meV per atom

Number 1: V 15.22 Å³/atom. Number 2: V 13.21 Å³/atom. Number 3: V 15.20 Å³/atom. Number 4: V 13.21 Å³/atom. Number 5: V 13.36 Å³/atom. Number 6: V 13.23 Å³/atom. Number 7: V 13.87 Å³/atom. Number 8: V 13.11 Å³/atom. Number 9: V 14.71 Å³/atom. Number 10: V 13.98 Å³/atom.